No. 1
Below is a geometry-optimized Rb2LiCrBr6 structure, with properties calculated at the GGA-PBE level.

Cell: 7.517 7.517 7.519 Å, 60.01 60.01 90.00°
Last column: magnetic moment on the atom in μB.
Fractional positions:
Br1 0.761 0.239 0.000  -0.02
Br2 0.761 0.761 0.000  -0.02
Br3 0.239 0.239 0.000  -0.02
Rb1 0.250 0.750 0.500  0.00
Cr1 0.000 0.000 0.000  2.92
Br4 0.239 0.239 0.523  -0.02
Br5 0.761 0.761 0.477  -0.02
Rb2 0.750 0.250 0.500  0.00
Li1 0.500 0.500 0.000  -0.01
Br6 0.239 0.761 0.000  -0.02

## Properties
Fermi-level density of states   0.000 states/eV per atom
Uncorrected energy   -36.52 eV for the cell shown
Space group   No. 225
Uncorrected formation energy   -13.01 eV/f.u.

No. 2
Below is a geometry-optimized Ac7YEr2 structure, with properties calculated at the GGA-PBE level.

Cell: 6.109 9.645 9.645 Å, 63.37 90.00 90.00°
Fractional positions:
Y1 0.000 0.000 0.000
Ac1 0.000 0.759 0.759
Ac2 0.500 0.062 0.692
Ac3 0.500 0.308 0.938
Er1 0.500 0.298 0.298
Ac4 0.000 0.241 0.241
Ac5 0.500 0.500 0.500
Ac6 0.500 0.938 0.308
Er2 0.500 0.702 0.702
Ac7 0.500 0.692 0.062

## Properties
Fermi-level density of states   1.406 states/eV per atom
Uncorrected energy   -38.04 eV for the cell shown
Space group   No. 65

No. 3
Below is a geometry-optimized Pu2Al6Au structure, with properties calculated at the GGA-PBE level.

Cell: 5.592 6.004 6.004 Å, 60.00 89.99 89.99°
Last column: magnetic moment on the atom in μB.
Fractional positions:
Al1 0.319 0.821 0.821  -0.01
Al2 0.681 0.179 0.179  -0.01
Pu1 0.184 0.333 0.333  5.25
Al3 0.681 0.643 0.179  -0.01
Au1 0.000 0.000 0.000  -0.01
Al4 0.681 0.179 0.643  -0.01
Al5 0.319 0.357 0.821  -0.01
Al6 0.319 0.821 0.357  -0.01
Pu2 0.816 0.667 0.667  5.25

## Properties
Fermi-level density of states   1.920 states/eV per atom
Uncorrected energy   -57.24 eV for the cell shown
Space group   No. 164

No. 4
Below is a geometry-optimized FeReIr4 structure, with properties calculated at the GGA-PBE level.

Cell: 2.749 4.371 7.217 Å, 89.97 101.00 90.00°
Last column: magnetic moment on the atom in μB.
Fractional positions:
Ir1 0.950 0.003 0.144  -0.12
Ir2 0.277 0.003 0.800  -0.10
Ir3 0.725 0.503 0.695  -0.06
Ir4 0.060 0.502 0.365  0.02
Fe1 0.615 0.003 0.477  2.43
Re1 0.393 0.503 0.030  -0.07

## Properties
Fermi-level density of states   0.938 states/eV per atom
Uncorrected energy   -57.02 eV for the cell shown
Space group   No. 38
Excess energy over the best structure of this formula in the dataset   0 meV per atom

No. 5
Below is a geometry-optimized ZrMn2Tc structure, with properties calculated at the GGA-PBE level.

Cell: 4.040 2.833 5.537 Å, 74.17 90.00 90.00°
Last column: magnetic moment on the atom in μB.
Fractional positions:
Mn1 0.000 0.475 0.469  2.25
Tc1 0.500 0.250 0.250  -0.33
Mn2 0.000 0.025 0.031  2.25
Zr1 0.500 0.750 0.750  -0.24

## Properties
Fermi-level density of states   1.200 states/eV per atom
Uncorrected energy   -36.74 eV for the cell shown
Space group   No. 10
Excess energy over the best structure of this formula in the dataset   102 meV per atom

No. 6
Below is a geometry-optimized CuAgAu3 structure, with properties calculated at the GGA-PBE level.

Cell: 4.784 4.784 4.784 Å, 90.00 90.00 90.00°
Fractional positions:
Cu1 0.000 0.000 0.000
Ag1 0.500 0.500 0.500
Au1 0.500 0.000 0.000
Au2 0.000 0.000 0.500
Au3 0.000 0.500 0.000

## Properties
Fermi-level density of states   0.253 states/eV per atom
Uncorrected energy   -14.10 eV for the cell shown
Space group   No. 221
Excess energy over the best structure of this formula in the dataset   507 meV per atom

No. 7
Below is a geometry-optimized La3CoSn structure, with properties calculated at the GGA-PBE level.

Cell: 3.670 6.621 6.621 Å, 70.92 90.00 90.00°
Fractional positions:
Co1 0.000 0.773 0.227
La1 0.500 0.516 0.085
La2 0.000 0.389 0.611
La3 0.500 0.915 0.484
Sn1 0.500 0.034 0.966

## Properties
Fermi-level density of states   1.150 states/eV per atom
Uncorrected energy   -26.77 eV for the cell shown
Space group   No. 38
Excess energy over the best structure of this formula in the dataset   273 meV per atom

No. 8
Below is a geometry-optimized PuCdRhPb structure, with properties calculated at the GGA-PBE level.

Cell: 5.021 5.021 5.021 Å, 60.00 60.00 60.00°
Last column: magnetic moment on the atom in μB.
Fractional positions:
Rh1 0.250 0.250 0.250  -0.37
Cd1 0.750 0.750 0.750  0.01
Pb1 0.000 0.000 0.000  -0.02
Pu1 0.500 0.500 0.500  5.24

## Properties
Fermi-level density of states   2.516 states/eV per atom
Uncorrected energy   -26.43 eV for the cell shown
Space group   No. 216

No. 9
Below is a geometry-optimized AcSmAu4 structure, with properties calculated at the GGA-PBE level.

Cell: 5.829 5.829 5.829 Å, 60.00 60.00 60.00°
Fractional positions:
Au1 0.626 0.123 0.626
Ac1 0.250 0.250 0.250
Sm1 0.000 0.000 0.000
Au2 0.626 0.626 0.123
Au3 0.123 0.626 0.626
Au4 0.626 0.626 0.626

## Properties
Fermi-level density of states   0.777 states/eV per atom
Uncorrected energy   -25.04 eV for the cell shown
Space group   No. 216
Excess energy over the best structure of this formula in the dataset   290 meV per atom

No. 10
Below is a geometry-optimized Ca2BeTcI structure, with properties calculated at the GGA-PBE level.

Cell: 5.607 4.206 5.607 Å, 90.00 90.00 90.00°
Last column: magnetic moment on the atom in μB.
Fractional positions:
Ca1 0.000 0.000 0.500  -0.01
Be1 0.000 0.000 0.000  -0.05
I1 0.500 0.500 0.500  0.04
Ca2 0.500 0.000 0.000  -0.02
Tc1 0.000 0.500 0.000  1.45

## Properties
Fermi-level density of states   0.924 states/eV per atom
Uncorrected energy   -18.70 eV for the cell shown
Space group   No. 123
Uncorrected formation energy   0.94 eV/f.u.

No. 11
Below is a geometry-optimized Ru2PtW structure, with properties calculated at the GGA-PBE level.

Cell: 4.728 4.728 2.788 Å, 90.00 90.00 108.10°
Fractional positions:
Pt1 0.000 0.500 0.500
Ru1 0.000 0.000 0.000
W1 0.500 0.000 0.500
Ru2 0.500 0.500 0.000

## Properties
Fermi-level density of states   0.977 states/eV per atom
Uncorrected energy   -37.64 eV for the cell shown
Space group   No. 65
Excess energy over the best structure of this formula in the dataset   152 meV per atom

No. 12
Below is a geometry-optimized Ac2Sc structure, with properties calculated at the GGA-PBE level.

Cell: 7.028 7.028 7.028 Å, 60.00 60.00 60.00°
Fractional positions:
Sc1 0.250 0.250 0.250
Ac1 0.625 0.625 0.125
Sc2 0.000 0.000 0.000
Ac2 0.625 0.625 0.625
Ac3 0.625 0.125 0.625
Ac4 0.125 0.625 0.625

## Properties
Fermi-level density of states   2.044 states/eV per atom
Uncorrected energy   -25.68 eV for the cell shown
Space group   No. 227
Excess energy over the best structure of this formula in the dataset   462 meV per atom

Q: Which magnetic moment values were calculated for the entries above? A: 3.00; 0.02; 11.09; 2.10; 3.99; 0.00; 0.00; 5.10; 0.00; 1.64; 0.00; 0.00, in μB/f.u..